VASP calculation (GGA-PBE) on a geometry-optimized MnAl2Tc structure.

Unit cell a=8.6278 b=8.6278 c=8.6278 alpha=18.45 beta=18.45 gamma=18.45
Last column: magnetic moment on the atom in μB.
Sites, in units of the cell vectors:
Mn1 0.4977 0.4977 0.4977  0.32
Tc1 0.7556 0.7556 0.7556  -0.05
Al1 0.0027 0.0027 0.0027  0.00
Al2 0.2440 0.2440 0.2440  0.00

For the energy relative to the elements, the calculation gives -0.1029 eV per atom. The calculation puts the density of states at the Fermi level at 2.53 states/eV per cell. For the volume, the calculation gives 56 Å³/f.u.

VASP calculation (GGA-PBE) on a geometry-optimized MnAl2Tc structure.

Unit cell a=3.1547 b=3.1237 c=6.5040 alpha=61.29 beta=90.00 gamma=90.00
Last column: magnetic moment on the atom in μB.
Sites, in units of the cell vectors:
Mn1 0.5000 0.2500 0.2500  2.90
Tc1 0.5000 0.7500 0.7500  0.37
Al1 0.0000 0.0073 0.9926  -0.03
Al2 0.0000 0.4927 0.5074  -0.03

For the energy relative to the elements, the calculation gives -0.2700 eV per atom. The calculation puts the density of states at the Fermi level at 3.09 states/eV per cell. For the volume, the calculation gives 56 Å³/f.u.

VASP calculation (GGA-PBE) on a geometry-optimized MnAlTc structure.

Unit cell a=4.3646 b=4.2922 c=8.7122 alpha=90.00 beta=90.00 gamma=90.00
Last column: magnetic moment on the atom in μB.
Sites, in units of the cell vectors:
Mn1 0.2500 0.0000 0.9104  2.11
Mn2 0.7500 0.5000 0.5896  2.11
Mn3 0.7500 0.0000 0.0896  2.11
Mn4 0.2500 0.5000 0.4104  2.11
Tc1 0.7500 0.5000 0.2488  -0.13
Tc2 0.2500 0.0000 0.2512  -0.13
Tc3 0.7500 0.0000 0.7488  -0.13
Tc4 0.2500 0.5000 0.7512  -0.13
Al1 0.2500 0.0000 0.5822  -0.01
Al2 0.2500 0.5000 0.0822  -0.01
Al3 0.7500 0.0000 0.4178  -0.01
Al4 0.7500 0.5000 0.9178  -0.01

For the energy relative to the elements, the calculation gives -0.1688 eV per atom. The calculation puts the density of states at the Fermi level at 9.77 states/eV per cell. For the volume, the calculation gives 41 Å³/f.u.

VASP calculation (GGA-PBE) on a geometry-optimized MnAl2Tc structure.

Unit cell a=3.0062 b=3.0062 c=5.9217 alpha=90.00 beta=90.00 gamma=90.00
Sites, in units of the cell vectors:
Mn1 0.0000 0.0000 0.4918
Tc1 0.5000 0.5000 0.7440
Al1 0.0000 0.0000 0.9911
Al2 0.5000 0.5000 0.2731

For the energy relative to the elements, the calculation gives -0.2861 eV per atom. The calculation puts the density of states at the Fermi level at 1.19 states/eV per cell. For the volume, the calculation gives 54 Å³/f.u.